Entry 1:
# Cu3PdAu4, PBEsol geometry, DFT meta-GGA SCAN
# Density of states at the Fermi level: 0.341 states/eV per atom
# Magnetization: 0.00 μB/atom
# E_form: -0.84 eV/f.u.
data_Cu3PdAu4
_symmetry_space_group_name_H-M 'P 1'
_symmetry_Int_Tables_number 1
_symmetry_space_group_name_Hall 'P 1'
_cell_length_a 2.829
_cell_length_b 2.829
_cell_length_c 14.540
_cell_angle_alpha 90.00
_cell_angle_beta 90.00
_cell_angle_gamma 90.00
loop_
_atom_site_label
_atom_site_type_symbol
_atom_site_fract_x
_atom_site_fract_y
_atom_site_fract_z
Au1 Au 0.000 0.000 0.622
Cu1 Cu 0.500 0.500 0.500
Au2 Au 0.000 0.000 0.135
Cu2 Cu 0.500 0.500 0.255
Cu3 Cu 0.500 0.500 0.745
Pd1 Pd 0.500 0.500 0.000
Au3 Au 0.000 0.000 0.865
Au4 Au 0.000 0.000 0.378

=====

Entry 2:
# CaP4O11, PBEsol geometry, DFT meta-GGA SCAN
# Density of states at the Fermi level: 0.000 states/eV per atom
# Formation energy (no corrections): -2.55 eV per atom
# Magnetization: 0.01 μB/atom
data_CaP4O11
_symmetry_space_group_name_H-M 'P 1'
_symmetry_Int_Tables_number 1
_symmetry_space_group_name_Hall 'P 1'
_cell_length_a 8.806
_cell_length_b 8.806
_cell_length_c 12.765
_cell_angle_alpha 90.00
_cell_angle_beta 90.00
_cell_angle_gamma 92.45
loop_
_atom_site_label
_atom_site_type_symbol
_atom_site_fract_x
_atom_site_fract_y
_atom_site_fract_z
O1 O 0.518 0.271 0.521
P1 P 0.735 0.388 0.162
P2 P 0.822 0.178 0.000
O2 O 0.723 0.976 0.601
O3 O 0.736 0.215 0.403
O4 O 0.359 0.859 0.250
P3 P 0.235 0.888 0.338
O5 O 0.832 0.832 0.195
O6 O 0.476 0.223 0.899
P4 P 0.404 0.404 0.212
Ca1 Ca 0.734 0.734 0.529
O7 O 0.137 0.137 0.603
O8 O 0.215 0.736 0.403
P5 P 0.112 0.765 0.662
P6 P 0.596 0.596 0.788
O9 O 0.913 0.109 0.729
O10 O 0.018 0.771 0.979
O11 O 0.285 0.764 0.903
Ca2 Ca 0.766 0.766 0.029
P7 P 0.096 0.096 0.712
P8 P 0.178 0.822 0.000
P9 P 0.765 0.112 0.662
O12 O 0.236 0.715 0.097
Ca3 Ca 0.266 0.266 0.471
O13 O 0.087 0.891 0.271
P10 P 0.612 0.265 0.838
O14 O 0.524 0.777 0.101
O15 O 0.785 0.264 0.597
O16 O 0.277 0.024 0.399
O17 O 0.777 0.524 0.101
O18 O 0.168 0.168 0.805
O19 O 0.482 0.729 0.479
P11 P 0.322 0.678 0.500
O20 O 0.332 0.332 0.305
O21 O 0.141 0.641 0.750
O22 O 0.729 0.482 0.479
O23 O 0.271 0.518 0.521
O24 O 0.024 0.277 0.399
O25 O 0.413 0.609 0.771
O26 O 0.715 0.236 0.097
O27 O 0.229 0.982 0.021
O28 O 0.637 0.637 0.897
P12 P 0.265 0.612 0.838
O29 O 0.764 0.285 0.903
O30 O 0.391 0.587 0.229
O31 O 0.109 0.913 0.729
O32 O 0.641 0.141 0.750
O33 O 0.976 0.723 0.601
O34 O 0.668 0.668 0.695
O35 O 0.587 0.391 0.229
O36 O 0.363 0.363 0.103
Ca4 Ca 0.234 0.234 0.971
P13 P 0.388 0.735 0.162
P14 P 0.904 0.904 0.288
O37 O 0.982 0.229 0.021
O38 O 0.859 0.359 0.250
O39 O 0.223 0.476 0.899
P15 P 0.678 0.322 0.500
O40 O 0.863 0.863 0.397
O41 O 0.264 0.785 0.597
O42 O 0.891 0.087 0.271
O43 O 0.609 0.413 0.771
P16 P 0.888 0.235 0.338
O44 O 0.771 0.018 0.979

=====

Entry 3:
# IrRu5, PBEsol geometry, DFT meta-GGA SCAN
# Density of states at the Fermi level: 0.696 states/eV per atom
# Magnetization: 0.00 μB/atom
# E_form: -0.27 eV/f.u.
data_IrRu5
_symmetry_space_group_name_H-M 'P 1'
_symmetry_Int_Tables_number 1
_symmetry_space_group_name_Hall 'P 1'
_cell_length_a 2.693
_cell_length_b 5.045
_cell_length_c 6.324
_cell_angle_alpha 103.27
_cell_angle_beta 90.00
_cell_angle_gamma 105.48
loop_
_atom_site_label
_atom_site_type_symbol
_atom_site_fract_x
_atom_site_fract_y
_atom_site_fract_z
Ru1 Ru 0.723 0.445 0.944
Ru2 Ru 0.333 0.665 0.664
Ru3 Ru 0.056 0.112 0.610
Ru4 Ru 0.388 0.777 0.280
Ru5 Ru 0.667 0.335 0.335
Ir1 Ir 0.000 0.000 0.000

=====

Entry 4:
# Li2B11H11, PBEsol geometry, DFT meta-GGA SCAN
# Density of states at the Fermi level: 0.000 states/eV per atom
# Energy: -130.7 eV for the cell shown
# Magnetization: 0.00 μB/atom
data_Li2B11H11
_symmetry_space_group_name_H-M 'P 1'
_symmetry_Int_Tables_number 1
_symmetry_space_group_name_Hall 'P 1'
_cell_length_a 6.606
_cell_length_b 6.606
_cell_length_c 6.792
_cell_angle_alpha 111.62
_cell_angle_beta 111.62
_cell_angle_gamma 104.02
loop_
_atom_site_label
_atom_site_type_symbol
_atom_site_fract_x
_atom_site_fract_y
_atom_site_fract_z
Li1 Li 0.984 0.016 0.500
H1 H 0.916 0.718 0.239
B1 B 0.866 0.644 0.834
H2 H 0.143 0.454 0.000
Li2 Li 0.484 0.516 0.500
B2 B 0.356 0.134 0.166
B3 B 0.198 0.106 0.304
H3 H 0.735 0.779 0.514
B4 B 0.998 0.002 0.000
H4 H 0.055 0.494 0.549
B5 B 0.363 0.858 0.000
B6 B 0.142 0.637 0.000
H5 H 0.677 0.479 0.761
H6 H 0.506 0.945 0.451
H7 H 0.221 0.265 0.486
B7 B 0.032 0.810 0.166
H8 H 0.521 0.323 0.239
H9 H 0.282 0.084 0.761
B8 B 0.190 0.968 0.834
B9 B 0.349 0.922 0.270
B10 B 0.894 0.802 0.696
B11 B 0.078 0.651 0.730
H10 H 0.882 0.118 0.000
H11 H 0.546 0.857 0.000

=====

Entry 5:
# ScCl4, PBEsol geometry, DFT meta-GGA SCAN
# Density of states at the Fermi level: 0.719 states/eV per atom
# Formation energy (no corrections): -1.37 eV per atom
# Magnetization: 0.00 μB/atom
data_ScCl4
_symmetry_space_group_name_H-M 'P 1'
_symmetry_Int_Tables_number 1
_symmetry_space_group_name_Hall 'P 1'
_cell_length_a 5.267
_cell_length_b 5.267
_cell_length_c 5.267
_cell_angle_alpha 109.47
_cell_angle_beta 109.47
_cell_angle_gamma 109.47
loop_
_atom_site_label
_atom_site_type_symbol
_atom_site_fract_x
_atom_site_fract_y
_atom_site_fract_z
Sc1 Sc 0.000 0.000 0.000
Cl1 Cl 0.000 0.000 0.500
Cl2 Cl 0.500 0.500 0.500
Cl3 Cl 0.000 0.500 0.000
Cl4 Cl 0.500 0.000 0.000

=====

Entry 6:
# La2TlCl, PBEsol geometry, DFT meta-GGA SCAN
# Density of states at the Fermi level: 0.642 states/eV per atom
# Formation energy (no corrections): -1.16 eV per atom
# Magnetization: 0.00 μB/atom
data_La2TlCl
_symmetry_space_group_name_H-M 'P 1'
_symmetry_Int_Tables_number 1
_symmetry_space_group_name_Hall 'P 1'
_cell_length_a 4.163
_cell_length_b 4.163
_cell_length_c 8.041
_cell_angle_alpha 75.00
_cell_angle_beta 75.00
_cell_angle_gamma 60.00
loop_
_atom_site_label
_atom_site_type_symbol
_atom_site_fract_x
_atom_site_fract_y
_atom_site_fract_z
La1 La 0.736 0.736 0.791
Cl1 Cl 0.000 0.000 0.000
Tl1 Tl 0.500 0.500 0.500
La2 La 0.264 0.264 0.209

=====

Entry 7:
# CaBe2W2, PBEsol geometry, DFT meta-GGA SCAN
# Density of states at the Fermi level: 0.729 states/eV per atom
# Magnetization: 0.00 μB/atom
# E_form: 1.97 eV/f.u.
data_CaBe2W2
_symmetry_space_group_name_H-M 'P 1'
_symmetry_Int_Tables_number 1
_symmetry_space_group_name_Hall 'P 1'
_cell_length_a 3.777
_cell_length_b 3.777
_cell_length_c 6.173
_cell_angle_alpha 107.81
_cell_angle_beta 107.81
_cell_angle_gamma 90.00
loop_
_atom_site_label
_atom_site_type_symbol
_atom_site_fract_x
_atom_site_fract_y
_atom_site_fract_z
Be1 Be 0.393 0.393 0.785
W1 W 0.750 0.250 0.500
Ca1 Ca 0.000 0.000 0.000
W2 W 0.250 0.750 0.500
Be2 Be 0.607 0.607 0.215

=====

Entry 8:
# KAg2Mo, PBEsol geometry, DFT meta-GGA SCAN
# Density of states at the Fermi level: 0.580 states/eV per atom
# Magnetization: 0.36 μB/atom
# E_form: 2.92 eV/f.u.
data_KAg2Mo
_symmetry_space_group_name_H-M 'P 1'
_symmetry_Int_Tables_number 1
_symmetry_space_group_name_Hall 'P 1'
_cell_length_a 2.679
_cell_length_b 5.270
_cell_length_c 5.434
_cell_angle_alpha 90.00
_cell_angle_beta 90.00
_cell_angle_gamma 90.00
loop_
_atom_site_label
_atom_site_type_symbol
_atom_site_fract_x
_atom_site_fract_y
_atom_site_fract_z
K1 K 0.500 0.000 0.579
Mo1 Mo 0.500 0.500 0.157
Ag1 Ag 0.000 0.000 0.083
Ag2 Ag 0.000 0.500 0.681

=====

Entry 9:
# ScPbBr2, PBEsol geometry, DFT meta-GGA SCAN
# Density of states at the Fermi level: 0.547 states/eV per atom
# Formation energy (no corrections): -0.48 eV per atom
# Magnetization: 0.00 μB/atom
data_ScPbBr2
_symmetry_space_group_name_H-M 'P 1'
_symmetry_Int_Tables_number 1
_symmetry_space_group_name_Hall 'P 1'
_cell_length_a 4.235
_cell_length_b 4.235
_cell_length_c 6.410
_cell_angle_alpha 109.29
_cell_angle_beta 109.29
_cell_angle_gamma 90.00
loop_
_atom_site_label
_atom_site_type_symbol
_atom_site_fract_x
_atom_site_fract_y
_atom_site_fract_z
Pb1 Pb 0.500 0.500 0.000
Br1 Br 0.750 0.250 0.500
Sc1 Sc 0.250 0.750 0.500
Br2 Br 0.000 0.000 0.000

=====

Entry 10:
# Zn2FeSe, PBEsol geometry, DFT meta-GGA SCAN
# Density of states at the Fermi level: 0.314 states/eV per atom
# Formation energy (no corrections): 0.07 eV per atom
# Magnetization: 0.45 μB/atom
data_Zn2FeSe
_symmetry_space_group_name_H-M 'P 1'
_symmetry_Int_Tables_number 1
_symmetry_space_group_name_Hall 'P 1'
_cell_length_a 2.750
_cell_length_b 4.077
_cell_length_c 6.106
_cell_angle_alpha 109.50
_cell_angle_beta 103.02
_cell_angle_gamma 90.00
loop_
_atom_site_label
_atom_site_type_symbol
_atom_site_fract_x
_atom_site_fract_y
_atom_site_fract_z
Fe1 Fe 0.514 0.514 0.028
Zn1 Zn 0.827 0.327 0.655
Zn2 Zn 0.980 0.980 0.961
Se1 Se 0.178 0.678 0.357

=====

Entry 11:
# KTa2Ni, PBEsol geometry, DFT meta-GGA SCAN
# Density of states at the Fermi level: 0.605 states/eV per atom
# Magnetization: 0.00 μB/atom
# E_form: 2.96 eV/f.u.
data_KTa2Ni
_symmetry_space_group_name_H-M 'P 1'
_symmetry_Int_Tables_number 1
_symmetry_space_group_name_Hall 'P 1'
_cell_length_a 2.876
_cell_length_b 2.876
_cell_length_c 10.733
_cell_angle_alpha 82.30
_cell_angle_beta 82.30
_cell_angle_gamma 60.00
loop_
_atom_site_label
_atom_site_type_symbol
_atom_site_fract_x
_atom_site_fract_y
_atom_site_fract_z
Ta1 Ta 0.731 0.731 0.807
Ni1 Ni 0.000 0.000 0.000
Ta2 Ta 0.269 0.269 0.193
K1 K 0.500 0.500 0.500

=====

Entry 12:
# SiSb2, PBEsol geometry, DFT meta-GGA SCAN
# Density of states at the Fermi level: 0.345 states/eV per atom
# Formation energy (no corrections): 0.23 eV per atom
# Magnetization: 0.00 μB/atom
data_SiSb2
_symmetry_space_group_name_H-M 'P 1'
_symmetry_Int_Tables_number 1
_symmetry_space_group_name_Hall 'P 1'
_cell_length_a 3.944
_cell_length_b 6.279
_cell_length_c 6.452
_cell_angle_alpha 90.05
_cell_angle_beta 107.80
_cell_angle_gamma 90.00
loop_
_atom_site_label
_atom_site_type_symbol
_atom_site_fract_x
_atom_site_fract_y
_atom_site_fract_z
Sb1 Sb 0.149 0.769 0.298
Si1 Si 0.500 0.310 0.000
Sb2 Sb 0.851 0.231 0.702
Sb3 Sb 0.149 0.232 0.298
Si2 Si 0.500 0.690 0.000
Sb4 Sb 0.851 0.768 0.702

=====

Q: What is the magnetization in the first record?
A: 0.00 μB/atom